1 | DFT (PBE-GGA) results for InSnSb2 after structural relaxation.

abc: 6.748 6.748 8.341
angles: 66.14 66.14 90.00
Element x y z (fractional)
Sn1 0.750 0.250 0.500
Sb1 0.875 0.868 0.750
In1 0.500 0.500 0.000
Sb2 0.618 0.125 0.250
Sb3 0.132 0.625 0.250
Sn2 0.000 0.000 0.000
Sb4 0.375 0.382 0.750
In2 0.250 0.750 0.500

The size of the total moment comes out at 0.000 Bohr magnetons per cell. As for the mass density: 5.09 Mg/m³. Its space group is I-42d.

2 | DFT (PBE-GGA) results for InSnSb2 after structural relaxation.

abc: 4.339 4.339 7.588
angles: 73.39 73.39 60.00
Element x y z (fractional)
In1 0.500 0.500 0.500
Sb1 0.250 0.250 0.250
Sb2 0.750 0.750 0.750
Sn1 0.000 0.000 0.000

The size of the total moment comes out at 0.000 Bohr magnetons per cell. As for the mass density: 6.78 Mg/m³. Its space group is R-3m.

3 | DFT (PBE-GGA) results for InSnSb2 after structural relaxation.

abc: 5.384 5.384 5.384
angles: 60.00 60.00 60.00
Element x y z (fractional)
Sn1 0.500 0.500 0.500
In1 0.000 0.000 0.000
Sb1 0.750 0.750 0.750
Sb2 0.250 0.250 0.250

The size of the total moment comes out at 0.000 Bohr magnetons per cell. As for the mass density: 7.18 Mg/m³. Its space group is Fm-3m.

It is 2 that is the most stable of them.

1 | DFT (PBE-GGA) results for InSnSb2 after structural relaxation.

abc: 4.234 4.234 8.001
angles: 74.66 74.66 60.00
Element x y z (fractional)
Sn1 0.667 0.667 0.998
In1 0.499 0.499 0.502
Sb1 0.082 0.082 0.754
Sb2 0.251 0.251 0.246

The size of the total moment comes out at 0.000 Bohr magnetons per cell. As for the mass density: 6.70 Mg/m³. Its space group is R3m.

2 | DFT (PBE-GGA) results for InSnSb2 after structural relaxation.

abc: 3.788 3.788 7.665
angles: 90.00 90.00 90.00
Element x y z (fractional)
Sb1 0.000 0.000 0.757
In1 0.500 0.500 0.500
Sn1 0.500 0.500 0.000
Sb2 0.000 0.000 0.243

The size of the total moment comes out at 0.000 Bohr magnetons per cell. As for the mass density: 7.20 Mg/m³. Its space group is P4/mmm.

3 | DFT (PBE-GGA) results for InSnSb2 after structural relaxation.

abc: 4.926 4.926 7.124
angles: 90.00 90.00 120.00
Element x y z (fractional)
Sb1 0.000 0.000 0.394
In1 0.000 0.000 0.987
Sn1 0.667 0.333 0.482
Sb2 0.667 0.333 0.887

The size of the total moment comes out at 0.000 Bohr magnetons per cell. As for the mass density: 5.29 Mg/m³. Its space group is P3m1.

It is 3 that is the most stable of them.